The following is a DFT calculation (GGA-PBE) of an optimized crystal structure of ZrTiMnCu.

a b c (Å): 6.2691 6.2691 6.2691
angles (deg): 90.00 90.00 90.00
Last column: nearest neighbours and their distance in Å.
Space group F-43m (No. 216)
Unique sites:
1 Zr 0.0000 0.0000 0.0000 (multiplicity 4)  4 Mn 2.71, 4 Cu 2.71
2 Ti 0.0000 0.0000 0.5000 (multiplicity 4)  4 Mn 2.71, 4 Cu 2.71
3 Mn 0.2500 0.2500 0.2500 (multiplicity 4)  4 Zr 2.71, 4 Ti 2.71
4 Cu 0.2500 0.2500 0.7500 (multiplicity 4)  4 Zr 2.71, 4 Ti 2.71

Output
DFT formation energy: -0.078 eV/atom
Total magnetic moment: 0.00 Bohr magnetons per cell
Total DFT energy (no corrections): -120.08 eV for the cell shown